# 1
Compound: SiAgB
Source: the Alexandria database
Functional: PBE-GGA
Structure: relaxed

Properties
Fermi-level density of states (states/eV/cell): 1.41
Density (g/cm³): 5.62
Space-group type: P-1 (2)
DFT total energy (eV per atom): -4.751
Magnetization (μB/cell): 0.00
ΔE_f (raw) (meV per atom): 233

Lattice parameters (Å, degrees): 3.4390 4.8053 6.0321 71.55 73.52 69.23
Sites, in units of the cell vectors:
Si (0.2432, 0.1603, 0.3499)
Si (0.7568, 0.8397, 0.6501)
Ag (0.3970, 0.3061, 0.8926)
Ag (0.6030, 0.6939, 0.1074)
B (0.3989, 0.6793, 0.5261)
B (0.6011, 0.3207, 0.4739)



# 2
Compound: TaSiAg2B
Source: the Alexandria database
Functional: PBE-GGA
Structure: relaxed

Properties
Fermi-level density of states (states/eV/cell): 3.37
Density (g/cm³): 8.23
Space-group type: P4/mmm (123)
DFT total energy (eV per atom): -4.710
Magnetization (μB/cell): 0.72
ΔE_f (raw) (meV per atom): 1221

Lattice parameters (Å, degrees): 4.9165 4.9165 3.6337 90.00 90.00 90.00
Sites, in units of the cell vectors:
Ta (0.0000, 0.0000, 0.0000)
Si (0.5000, 0.5000, 0.5000)
Ag (0.0000, 0.5000, 0.5000)
Ag (0.5000, 0.0000, 0.5000)
B (0.5000, 0.5000, 0.0000)